Record 1
Below is Zn6Ni23Ru after structural relaxation, with properties calculated at the PBE level.

Values from the calculation:
space-group type: No. 225
DFT total energy: -148.00 eV per cell
energy relative to the elements: 0.063 eV/atom

a b c (Å): 7.9606 7.9606 7.9606
angles (deg): 60.00 60.00 60.00
Last column: nearest neighbours and their distance in Å.
Atoms (fractional coordinates):
Ni 0.3649 0.8784 0.8784  7 Ni 2.37-2.52, 3 Zn 2.56
Ni 0.6621 0.6621 0.6621  6 Ni 2.30-2.52
Ni 0.9863 0.3379 0.3379  6 Ni 2.30-2.52
Ni 0.6621 0.6621 0.0137  6 Ni 2.30-2.52
Ni 0.0000 0.0000 0.5000  8 Ni 2.30-2.46
Ni 0.1216 0.1216 0.1216  7 Ni 2.37-2.52, 3 Zn 2.56
Ni 0.0000 0.0000 0.0000  8 Ni 2.37
Ni 0.0137 0.6621 0.6621  6 Ni 2.30-2.52
Ni 0.5000 0.0000 0.0000  8 Ni 2.30-2.46
Ni 0.6621 0.0137 0.6621  6 Ni 2.30-2.52
Ni 0.0000 0.5000 0.5000  8 Ni 2.30-2.46
Ni 0.3379 0.3379 0.9863  6 Ni 2.30-2.52
Ni 0.1216 0.1216 0.6351  7 Ni 2.37-2.52, 3 Zn 2.56
Ni 0.8784 0.3649 0.8784  7 Ni 2.37-2.52, 3 Zn 2.56
Ni 0.6351 0.1216 0.1216  7 Ni 2.37-2.52, 3 Zn 2.56
Ni 0.1216 0.6351 0.1216  7 Ni 2.37-2.52, 3 Zn 2.56
Ni 0.8784 0.8784 0.8784  7 Ni 2.37-2.52, 3 Zn 2.56
Ni 0.3379 0.3379 0.3379  6 Ni 2.30-2.52
Ni 0.5000 0.0000 0.5000  8 Ni 2.30-2.46
Ni 0.5000 0.5000 0.0000  8 Ni 2.30-2.46
Ni 0.8784 0.8784 0.3649  7 Ni 2.37-2.52, 3 Zn 2.56
Ni 0.3379 0.9863 0.3379  6 Ni 2.30-2.52
Ni 0.0000 0.5000 0.0000  8 Ni 2.30-2.46
Zn 0.7295 0.7295 0.2705  12 Ni 2.56-2.82, 1 Ru 2.58
Zn 0.2705 0.2705 0.7295  12 Ni 2.56-2.82, 1 Ru 2.58
Zn 0.2705 0.7295 0.7295  12 Ni 2.56-2.82, 1 Ru 2.58
Zn 0.2705 0.7295 0.2705  12 Ni 2.56-2.82, 1 Ru 2.58
Zn 0.7295 0.2705 0.2705  12 Ni 2.56-2.82, 1 Ru 2.58
Zn 0.7295 0.2705 0.7295  12 Ni 2.56-2.82, 1 Ru 2.58
Ru 0.5000 0.5000 0.5000  6 Zn 2.58

Record 2
Below is ZrZnNi2Ru after structural relaxation, with properties calculated at the PBE level.

Values from the calculation:
space-group type: No. 123
DFT total energy: -26.28 eV per cell
energy relative to the elements: 0.877 eV/atom

a b c (Å): 4.1883 4.1883 4.9129
angles (deg): 90.00 90.00 90.00
Last column: nearest neighbours and their distance in Å.
Atoms (fractional coordinates):
Ni 0.5000 0.0000 0.0000  2 Zn 2.09
Ni 0.0000 0.5000 0.0000  2 Zn 2.09
Zn 0.0000 0.0000 0.0000  4 Ni 2.09
Zr 0.0000 0.0000 0.5000  2 Zn 2.46
Ru 0.5000 0.5000 0.5000  4 Zr 2.96, 8 Ni 3.23

Record 3
Below is ZrNiRu2 after structural relaxation, with properties calculated at the PBE level.

Values from the calculation:
space-group type: No. 99
DFT total energy: -32.93 eV per cell
energy relative to the elements: -0.011 eV/atom

a b c (Å): 2.8447 2.8447 7.4743
angles (deg): 90.00 90.00 90.00
Last column: nearest neighbours and their distance in Å.
Atoms (fractional coordinates):
Ru 0.5000 0.5000 0.2194  8 Ru 2.61-2.84
Ru 0.0000 0.0000 0.9971  8 Ru 2.61-2.84, 4 Ni 2.63
Ni 0.5000 0.5000 0.7696  4 Ru 2.63, 4 Zr 2.77, 4 Ni 2.84
Zr 0.0000 0.0000 0.5139  4 Ni 2.77, 4 Zr 2.84, 4 Ru 2.98

Record 4
Below is ZrNi2Ru2 after structural relaxation, with properties calculated at the PBE level.

Values from the calculation:
space-group type: No. 139
DFT total energy: -38.37 eV per cell
offset from the most stable computed form: 34 kJ/mol of formula units
energy relative to the elements: 0.059 eV/atom

a b c (Å): 3.8723 3.8723 5.8774
angles (deg): 70.77 70.77 90.00
Last column: nearest neighbours and their distance in Å.
Atoms (fractional coordinates):
Ni 0.2500 0.7500 0.5000  4 Ru 2.43
Ni 0.7500 0.2500 0.5000  4 Ru 2.43
Ru 0.3914 0.3914 0.2172  1 Ru 2.26, 4 Ni 2.43
Ru 0.6086 0.6086 0.7828  1 Ru 2.26, 4 Ni 2.43
Zr 0.0000 0.0000 0.0000  8 Ru 2.96, 8 Ni 3.24

Record 5
Below is ZrNi2Ru2 after structural relaxation, with properties calculated at the PBE level.

Values from the calculation:
space-group type: No. 127
DFT total energy: -77.43 eV per cell
offset from the most stable computed form: 0 kJ/mol of formula units
energy relative to the elements: -0.011 eV/atom

a b c (Å): 6.8195 6.8195 3.0853
angles (deg): 90.00 90.00 90.00
Last column: nearest neighbours and their distance in Å.
Atoms (fractional coordinates):
Ni 0.1252 0.3748 0.0000  1 Ni 2.41, 6 Ru 2.53, 2 Zr 2.69
Ni 0.6252 0.1252 0.0000  1 Ni 2.41, 6 Ru 2.53, 2 Zr 2.69
Ni 0.3748 0.8748 0.0000  1 Ni 2.41, 6 Ru 2.53, 2 Zr 2.69
Ni 0.8748 0.6252 0.0000  1 Ni 2.41, 6 Ru 2.53, 2 Zr 2.69
Ru 0.1668 0.6668 0.5000  6 Ni 2.53
Ru 0.8332 0.3332 0.5000  6 Ni 2.53
Ru 0.6668 0.8332 0.5000  6 Ni 2.53
Ru 0.3332 0.1668 0.5000  6 Ni 2.53
Zr 0.5000 0.5000 0.0000  4 Ni 2.69, 8 Ru 2.97
Zr 0.0000 0.0000 0.0000  4 Ni 2.69, 8 Ru 2.97

Record 6
Below is ZrNiRu2 after structural relaxation, with properties calculated at the PBE level.

Values from the calculation:
space-group type: No. 166
DFT total energy: -31.83 eV per cell
energy relative to the elements: 0.263 eV/atom

a b c (Å): 9.1792 9.1792 9.1792
angles (deg): 17.45 17.45 17.45
Last column: nearest neighbours and their distance in Å.
Atoms (fractional coordinates):
Ru 0.0089 0.0089 0.0089  3 Ni 2.58, 6 Ru 2.78
Ru 0.4911 0.4911 0.4911  3 Ni 2.58, 6 Ru 2.78
Ni 0.7500 0.7500 0.7500  6 Ru 2.58, 6 Ni 2.78
Zr 0.2500 0.2500 0.2500  6 Zr 2.78, 6 Ru 2.97